(1)
Density functional theory data (PBE with a Hubbard U) for a geometry-optimized CoAuNO structure.

a b c (Å): 3.903 3.903 6.331
angles (deg): 90.00 90.00 90.00
Fractional positions:
Co 0.250 0.750 0.000
Co 0.750 0.250 0.000
Au 0.250 0.250 0.336
Au 0.750 0.750 0.664
N 0.250 0.250 0.960
N 0.750 0.750 0.040
O 0.250 0.750 0.500
O 0.750 0.250 0.500

Results
- uncorrected energy (eV/atom) = -4.7194

(2)
Density functional theory data (PBE with a Hubbard U) for a geometry-optimized CoAuNO structure.

a b c (Å): 3.107 5.904 5.578
angles (deg): 90.00 90.00 90.00
Fractional positions:
Co 0.000 0.168 0.000
Co 0.000 0.832 0.500
Au 0.500 0.265 0.529
Au 0.500 0.735 0.029
N 0.000 0.116 0.336
N 0.000 0.884 0.836
O 0.500 0.343 0.916
O 0.500 0.657 0.416

Results
- uncorrected energy (eV/atom) = -5.0201

(3)
Density functional theory data (PBE with a Hubbard U) for a geometry-optimized CoAuNO structure.

a b c (Å): 4.056 4.056 6.191
angles (deg): 90.00 90.00 90.12
Fractional positions:
Co 0.250 0.750 0.935
Co 0.750 0.250 0.065
Au 0.250 0.250 0.500
Au 0.750 0.750 0.500
N 0.250 0.750 0.589
N 0.750 0.250 0.411
O 0.250 0.250 0.000
O 0.750 0.750 0.000

Results
- uncorrected energy (eV/atom) = -4.9680

(4)
Density functional theory data (PBE with a Hubbard U) for a geometry-optimized CoAuNO structure.

a b c (Å): 3.083 6.114 5.436
angles (deg): 90.00 90.00 90.00
Fractional positions:
Co 0.000 0.126 0.000
Co 0.000 0.874 0.500
Au 0.500 0.427 0.563
Au 0.500 0.573 0.063
N 0.500 0.269 0.894
N 0.500 0.731 0.394
O 0.000 0.135 0.341
O 0.000 0.865 0.841

Results
- uncorrected energy (eV/atom) = -5.0714

(5)
Density functional theory data (PBE with a Hubbard U) for a geometry-optimized CoAuNO structure.

a b c (Å): 5.434 6.937 5.210
angles (deg): 90.00 90.00 90.00
Fractional positions:
Co 0.075 0.124 0.000
Co 0.425 0.124 0.500
Co 0.575 0.876 0.000
Co 0.925 0.876 0.500
Au 0.038 0.361 0.580
Au 0.462 0.361 0.080
Au 0.538 0.639 0.580
Au 0.962 0.639 0.080
N 0.106 0.078 0.636
N 0.394 0.078 0.136
N 0.606 0.922 0.636
N 0.894 0.922 0.136
O 0.091 0.662 0.634
O 0.409 0.662 0.134
O 0.591 0.338 0.634
O 0.909 0.338 0.134

Results
- uncorrected energy (eV/atom) = -4.9805